[1]
TlFeRh PBEsol relaxed; mass density = 12.84 g/cm³; total magnetic moment = 3.2 μB per formula unit; energy above the most stable polymorph in this dataset = 0.000 eV per atom
1.0
-0.8657 2.6050 1.1782
-1.7375 0.4982 -2.3783
-2.6969 -3.9722 3.0141
Tl Fe Rh
1 1 1
direct
0.3350 0.3350 0.6699 Tl
0.0159 0.0159 0.0318 Fe
0.6491 0.6491 0.2982 Rh


[2]
TlFeRh PBEsol relaxed; mass density = 12.75 g/cm³; total magnetic moment = 3.3 μB per formula unit; energy above the most stable polymorph in this dataset = 0.057 eV per atom
1.0
2.9436 0.0000 0.0000
0.0000 4.3065 0.0000
0.0000 -2.1532 3.7295
Rh Fe Tl
1 1 1
direct
0.7666 0.3333 0.6667 Rh
0.9103 0.0000 0.0000 Fe
0.3231 0.6667 0.3333 Tl


[3]
Fe4RhW PBEsol relaxed; mass density = 12.13 g/cm³; total magnetic moment = 5.8 μB per formula unit
1.0
-1.9503 4.1028 0.8569
-2.2207 2.2528 -3.3711
-4.6047 0.3896 0.1240
Fe W Rh
4 1 1
direct
0.3756 0.3756 0.8732 Fe
0.3756 0.3756 0.3756 Fe
0.3756 0.8732 0.3756 Fe
0.8732 0.3756 0.3756 Fe
0.0000 0.0000 0.0000 W
0.7500 0.7500 0.7500 Rh


[4]
FeRhW3 PBEsol relaxed; mass density = 14.26 g/cm³; total magnetic moment = 0.0 μB per formula unit
1.0
-2.0188 0.0931 -3.8604
-2.9218 -2.8850 1.4584
-2.5248 3.2642 1.3990
W Rh Fe
3 1 1
direct
0.0000 0.0000 0.5000 W
0.0000 0.5000 0.0000 W
0.5000 0.0000 0.0000 W
0.5000 0.5000 0.5000 Rh
0.0000 0.0000 0.0000 Fe


[5]
Zn2FeRh2 PBEsol relaxed; mass density = 9.25 g/cm³; total magnetic moment = 4.1 μB per formula unit
1.0
3.2488 0.0000 0.0000
0.0000 3.2488 0.0000
-1.6244 -1.6244 6.6733
Rh Zn Fe
2 2 1
direct
0.5981 0.5981 0.1963 Rh
0.4019 0.4019 0.8037 Rh
0.7500 0.2500 0.5000 Zn
0.2500 0.7500 0.5000 Zn
0.0000 0.0000 0.0000 Fe


[6]
ZnFe3Rh PBEsol relaxed; mass density = 7.30 g/cm³; total magnetic moment = 8.9 μB per formula unit
1.0
4.2426 0.0000 0.0000
0.0000 4.2426 0.0000
0.0000 0.0000 4.2426
Zn Fe Rh
1 3 1
direct
0.0000 0.0000 0.0000 Zn
0.0000 0.0000 0.5000 Fe
0.5000 0.0000 0.0000 Fe
0.0000 0.5000 0.0000 Fe
0.5000 0.5000 0.5000 Rh


Number 1: V 15.648 A^3/atom, formation energy from the elements 28.5 kJ/mol of atoms. Number 2: V 15.759 A^3/atom, formation energy from the elements 34.0 kJ/mol of atoms. Number 3: V 11.643 A^3/atom, formation energy from the elements -6.1 kJ/mol of atoms. Number 4: V 16.547 A^3/atom, formation energy from the elements 128.9 kJ/mol of atoms. Number 5: V 14.087 A^3/atom, formation energy from the elements 20.9 kJ/mol of atoms. Number 6: V 15.273 A^3/atom, formation energy from the elements 133.2 kJ/mol of atoms.